Record 1
Material: MoP
Method: DFT, PBE-GGA
State: optimized geometry

The structure belongs to space group Fd-3m (No. 227, origin choice 2); the cell edges are 6.1347, 6.1347 and 6.1347 Å and the angles 90.00°, 90.00° and 90.00°. The asymmetric unit holds Mo at (0.1250, 0.1250, 0.1250) and P at (0.1250, 0.1250, 0.6250).

The calculation puts the formation enthalpy at 0 K at 0.247 eV per atom. For the size of the total moment, the calculation gives 0.00 μB per atom.

Record 2
Material: Ag4IrRh
Method: DFT, PBE-GGA
State: optimized geometry

The structure belongs to space group F-43m (No. 216); the cell edges are 7.4623, 7.4623 and 7.4623 Å and the angles 90.00°, 90.00° and 90.00°. The asymmetric unit holds Ag at (0.1249, 0.1249, 0.1249), Ir at (0.2500, 0.2500, 0.7500) and Rh at (0.0000, 0.0000, 0.5000).

The calculation puts the formation enthalpy at 0 K at 0.690 eV per atom. For the size of the total moment, the calculation gives 0.25 μB per atom.

Record 3
Material: TiFe22B6
Method: DFT, PBE-GGA
State: optimized geometry

The structure belongs to space group Fm-3m (No. 225); the cell edges are 10.6013, 10.6013 and 10.6013 Å and the angles 90.00°, 90.00° and 90.00°. The asymmetric unit holds Ti at (0.0000, 0.0000, 0.0000), Fe at (0.0000, 0.1724, 0.1724), Fe at (0.1184, 0.1184, 0.3816), Fe at (0.2500, 0.2500, 0.2500) and B at (0.0000, 0.0000, 0.2732).

The calculation puts the formation enthalpy at 0 K at -0.213 eV per atom. For the size of the total moment, the calculation gives 1.51 μB per atom.